Below is a relaxed structure of BaAc2CoO5, with properties calculated at the PBE+U level.

space group = I4/mcm, No. 140
crystal system = tetragonal
E = -127.68 eV per cell

Unit cell a=7.144 b=7.144 c=7.799 alpha=117.26 beta=117.26 gamma=90.00
Site moments in Bohr magnetons follow the coordinates.
Sites, in units of the cell vectors:
O: 0.222 0.007 0.729  0.06
Ac: 0.675 0.175 0.000  0.01
O: 0.007 0.507 0.729  0.06
Ac: 0.175 0.325 0.000  0.01
Ba: 0.750 0.750 0.500  0.00
O: 0.000 0.000 0.000  0.01
Ac: 0.825 0.675 0.000  0.01
Co: 0.250 0.750 0.500  2.60
O: 0.500 0.500 0.000  0.01
O: 0.778 0.993 0.271  0.06
O: 0.507 0.722 0.729  0.06
O: 0.993 0.493 0.271  0.06
O: 0.493 0.278 0.271  0.06
Ba: 0.250 0.250 0.500  0.00
Ac: 0.325 0.825 0.000  0.01
Co: 0.750 0.250 0.500  2.60
O: 0.278 0.778 0.271  0.06
O: 0.722 0.222 0.729  0.06